[1]
# TiPSO2

Crystalline TiPSO2 at its relaxed geometry (PBE, Alexandria).

It has space group P4/mmm (No. 123), with a = 3.665 Å, b = 3.665 Å, c = 4.659 Å, α = 90.00°, β = 90.00° and γ = 90.00°. The asymmetric unit holds Ti at (0.000, 0.000, 0.000), P at (0.500, 0.500, 0.000), S at (0.500, 0.500, 0.500) and O at (0.000, 0.500, 0.500).

As for the total energy: -5.6371 eV per atom. The total magnetization is 0.98 μB/f.u. The calculation puts the density of states at the Fermi level at 3.21 states/eV per cell. As for the formation energy from raw total energies: -0.167 eV/atom.

=====

[2]
# Ac2SmTl

Crystalline Ac2SmTl at its relaxed geometry (PBE, Alexandria).

It has space group R3m (No. 160, hexagonal axes), with a = 3.9455 Å, b = 3.9455 Å, c = 34.5219 Å, α = 90.00°, β = 90.00° and γ = 120.00°. The asymmetric unit holds Ac at (0.0000, 0.0000, 0.0000), Ac at (0.0000, 0.0000, 0.1762), Sm at (0.0000, 0.0000, 0.7547) and Tl at (0.0000, 0.0000, 0.5881).

As for the total energy: -3.8831 eV per atom. The total magnetization is 0.00 μB/f.u. The calculation puts the formation energy from the elements at -0.06 eV/atom. The calculation puts the energy above the most stable polymorph in this dataset at 0.078 eV per atom. The calculation puts the density of states at the Fermi level at 19.09 states/eV per cell.

=====

[3]
# Y8CuPt2

Crystalline Y8CuPt2 at its relaxed geometry (PBE, Alexandria).

It has space group Cm (No. 8), with a = 8.495 Å, b = 12.706 Å, c = 5.996 Å, α = 90.00°, β = 107.53° and γ = 90.00°. The asymmetric unit holds Y at (0.000, 0.000, 0.000), Y at (0.071, 0.369, 0.799), Y at (0.156, 0.130, 0.587), Y at (0.225, 0.500, 0.368), Y at (0.367, 0.222, 0.185), Cu at (0.362, 0.000, 0.013) and Pt at (0.362, 0.313, 0.686).

As for the total energy: -6.5720 eV per atom. The total magnetization is 0.00 μB/f.u. The calculation puts the formation energy from the elements at -0.40 eV/atom. The calculation puts the density of states at the Fermi level at 28.64 states/eV per cell.

=====

[4]
# LaPtCl

Crystalline LaPtCl at its relaxed geometry (PBE, Alexandria).

It has space group F-43m (No. 216), with a = 6.926 Å, b = 6.926 Å, c = 6.926 Å, α = 90.00°, β = 90.00° and γ = 90.00°. The asymmetric unit holds La at (0.000, 0.000, 0.000), Pt at (0.250, 0.250, 0.250) and Cl at (0.250, 0.250, 0.750).

As for the total energy: -5.6105 eV per atom. The total magnetization is 0.00 μB/f.u. The calculation puts the energy above the most stable polymorph in this dataset at 0.329 eV per atom. The calculation puts the density of states at the Fermi level at 0.00 states/eV per cell. As for the formation energy from raw total energies: -1.339 eV/atom.

=====

[5]
# SrHgIr2

Crystalline SrHgIr2 at its relaxed geometry (PBE, Alexandria).

It has space group I4/mmm (No. 139), with a = 4.276 Å, b = 4.276 Å, c = 8.740 Å, α = 90.00°, β = 90.00° and γ = 90.00°. The asymmetric unit holds Sr at (0.000, 0.000, 0.000), Hg at (0.000, 0.000, 0.500) and Ir at (0.000, 0.500, 0.250).

As for the total energy: -4.4737 eV per atom. The total magnetization is 0.00 μB/f.u. The calculation puts the formation energy from the elements at 0.45 eV/atom. The calculation puts the density of states at the Fermi level at 10.69 states/eV per cell.

=====

[6]
# Tb8CePr6

Crystalline Tb8CePr6 at its relaxed geometry (PBE, Alexandria).

It has space group R-3 (No. 148, hexagonal axes), with a = 9.1731 Å, b = 9.1731 Å, c = 20.9786 Å, α = 90.00°, β = 90.00° and γ = 120.00°. The asymmetric unit holds Tb at (0.0000, 0.0000, 0.0769), Tb at (0.0809, 0.5617, 0.3062), Ce at (0.0000, 0.0000, 0.5000) and Pr at (0.0611, 0.2500, 0.2099).

As for the total energy: -4.6542 eV per atom. The total magnetization is 1.28 μB/f.u. The calculation puts the formation energy from the elements at 0.12 eV/atom. The calculation puts the density of states at the Fermi level at 77.91 states/eV per cell.

=====

[7]
# Cs2NaTmCl6

Crystalline Cs2NaTmCl6 at its relaxed geometry (PBE, Alexandria).

It has space group Fm-3m (No. 225), with a = 10.841 Å, b = 10.841 Å, c = 10.841 Å, α = 90.00°, β = 90.00° and γ = 90.00°. The asymmetric unit holds Cs at (0.250, 0.250, 0.250), Na at (0.000, 0.000, 0.000), Tm at (0.000, 0.000, 0.500) and Cl at (0.000, 0.000, 0.259).

As for the total energy: -4.0048 eV per atom. The total magnetization is 0.00 μB/f.u. The calculation puts the density of states at the Fermi level at 0.00 states/eV per cell. As for the formation energy from raw total energies: -2.147 eV/atom.

=====

[8]
# TbZr2Cd

Crystalline TbZr2Cd at its relaxed geometry (PBE, Alexandria).

It has space group R-3m (No. 166, hexagonal axes), with a = 3.1259 Å, b = 3.1259 Å, c = 35.2829 Å, α = 90.00°, β = 90.00° and γ = 120.00°. The asymmetric unit holds Tb at (0.0000, 0.0000, 0.0000), Zr at (0.0000, 0.0000, 0.0919) and Cd at (0.0000, 0.0000, 0.5000).

As for the total energy: -5.4002 eV per atom. The total magnetization is 0.00 μB/f.u. The calculation puts the formation energy from the elements at 0.26 eV/atom. The calculation puts the energy above the most stable polymorph in this dataset at 0.265 eV per atom. The calculation puts the density of states at the Fermi level at 17.28 states/eV per cell.